(1)
VASP calculation (PBE) on an optimized crystal structure of K3Pa2SiN6.

Computed properties:
The density of states at the Fermi level is 5.374 states/eV per cell. The value obtained for the total energy is -7.123 eV per atom.

a = 6.204 Å, b = 6.204 Å, c = 6.614 Å
α = 96.14°, β = 96.14°, γ = 126.10°
Atoms (fractional coordinates):
K1 0.000 0.000 0.000
K2 0.342 0.658 0.000
K3 0.658 0.342 0.000
Pa1 0.165 0.835 0.500
Pa2 0.835 0.165 0.500
Si1 0.500 0.500 0.500
N1 0.081 0.428 0.319
N2 0.287 0.287 0.652
N3 0.428 0.081 0.319
N4 0.572 0.919 0.681
N5 0.713 0.713 0.348
N6 0.919 0.572 0.681


(2)
VASP calculation (PBE) on an optimized crystal structure of Pm2SmCd2Ag2.

Computed properties:
The density of states at the Fermi level is 6.479 states/eV per cell. The value obtained for the total energy is -3.298 eV per atom. The formation energy is -0.19 eV per atom.

a = 9.265 Å, b = 9.265 Å, c = 9.265 Å
α = 30.80°, β = 30.80°, γ = 30.80°
Atoms (fractional coordinates):
Pm1 0.125 0.125 0.125
Pm2 0.875 0.875 0.875
Sm1 0.000 0.000 0.000
Cd1 0.265 0.265 0.265
Cd2 0.735 0.735 0.735
Ag1 0.398 0.398 0.398
Ag2 0.602 0.602 0.602


(3)
VASP calculation (PBE) on an optimized crystal structure of TbSmDy2Tm.

Computed properties:
The density of states at the Fermi level is 16.795 states/eV per cell. The value obtained for the total energy is -4.236 eV per atom. The formation energy is 0.37 eV per atom.

a = 8.885 Å, b = 8.885 Å, c = 6.362 Å
α = 90.00°, β = 90.00°, γ = 138.02°
Atoms (fractional coordinates):
Tb1 0.157 0.843 0.750
Tb2 0.843 0.157 0.250
Sm1 0.342 0.658 0.750
Sm2 0.658 0.342 0.250
Dy1 0.250 0.250 0.000
Dy2 0.250 0.250 0.500
Dy3 0.750 0.750 0.000
Dy4 0.750 0.750 0.500
Tm1 0.251 0.749 0.250
Tm2 0.749 0.251 0.750


(4)
VASP calculation (PBE) on an optimized crystal structure of Pr5HoTl2.

Computed properties:
The density of states at the Fermi level is 29.629 states/eV per cell. The value obtained for the total energy is -4.227 eV per atom. The formation energy is -0.08 eV per atom.

a = 5.615 Å, b = 5.615 Å, c = 20.462 Å
α = 90.00°, β = 90.00°, γ = 120.00°
Atoms (fractional coordinates):
Pr1 0.000 0.000 0.161
Pr2 0.000 0.000 0.339
Pr3 0.000 0.000 0.661
Pr4 0.000 0.000 0.839
Pr5 0.333 0.667 0.061
Pr6 0.333 0.667 0.250
Pr7 0.333 0.667 0.439
Pr8 0.667 0.333 0.561
Pr9 0.667 0.333 0.750
Pr10 0.667 0.333 0.939
Ho1 0.333 0.667 0.750
Ho2 0.667 0.333 0.250
Tl1 0.333 0.667 0.597
Tl2 0.333 0.667 0.903
Tl3 0.667 0.333 0.097
Tl4 0.667 0.333 0.403


(5)
VASP calculation (PBE) on an optimized crystal structure of NaSrLi2C.

Computed properties:
The density of states at the Fermi level is 3.584 states/eV per cell. The value obtained for the total energy is -2.221 eV per atom. The formation energy is 0.99 eV per atom.

a = 4.758 Å, b = 4.758 Å, c = 4.820 Å
α = 90.00°, β = 90.00°, γ = 90.00°
Atoms (fractional coordinates):
Na1 0.000 0.000 0.000
Sr1 0.500 0.500 0.500
Li1 0.000 0.500 0.000
Li2 0.500 0.000 0.000
C1 0.000 0.000 0.500


(6)
VASP calculation (PBE) on an optimized crystal structure of Pa4CoTc2.

Computed properties:
The density of states at the Fermi level is 9.060 states/eV per cell. The value obtained for the total energy is -9.470 eV per atom. The formation energy is -0.07 eV per atom.

a = 6.998 Å, b = 6.998 Å, c = 6.926 Å
α = 119.08°, β = 119.08°, γ = 31.27°
Atoms (fractional coordinates):
Pa1 0.113 0.113 0.411
Pa2 0.386 0.386 0.028
Pa3 0.614 0.614 0.972
Pa4 0.887 0.887 0.589
Co1 0.500 0.500 0.500
Tc1 0.263 0.263 0.257
Tc2 0.737 0.737 0.743


(7)
VASP calculation (PBE) on an optimized crystal structure of PmPaAs2.

Computed properties:
The density of states at the Fermi level is 2.747 states/eV per cell. The value obtained for the total energy is -7.040 eV per atom. The formation energy is -1.15 eV per atom.

a = 7.509 Å, b = 7.509 Å, c = 7.509 Å
α = 31.66°, β = 31.66°, γ = 31.66°
Atoms (fractional coordinates):
Pm1 0.000 0.000 0.000
Pa1 0.176 0.176 0.176
As1 0.585 0.585 0.585
As2 0.761 0.761 0.761


(8)
VASP calculation (PBE) on an optimized crystal structure of Sc2TlTe.

Computed properties:
The density of states at the Fermi level is 6.509 states/eV per cell. The value obtained for the total energy is -4.951 eV per atom.

a = 6.499 Å, b = 6.499 Å, c = 6.499 Å
α = 105.22°, β = 105.22°, γ = 118.35°
Atoms (fractional coordinates):
Sc1 0.118 0.125 0.493
Sc2 0.375 0.882 0.007
Sc3 0.632 0.625 0.507
Sc4 0.875 0.368 0.993
Tl1 0.250 0.750 0.500
Tl2 0.500 0.500 0.000
Te1 0.000 0.000 0.000
Te2 0.750 0.250 0.500